{"formula": "LiAgC2", "functional": "PBE", "state": "relaxed", "magmom_total_mub_per_cell": 0.00, "formation_enthalpy_0k_ev_per_atom": 0.385, "lattice": [[3.851, 0.000, 0.000], [-1.926, 3.335, 0.000], [0.000, 0.000, 5.356]], "species": ["Li", "Ag", "C", "C"], "fractional_positions": [[0.000, 0.000, 0.000], [0.667, 0.333, 0.500], [0.667, 0.333, 0.117], [0.667, 0.333, 0.883]]}